VASP calculation (GGA-PBE) on NpMnS3 after structural relaxation.

```
NpMnS3
1.0
-2.327 4.548 4.723
-0.453 -4.565 6.983
6.905 2.059 4.230
Np Mn S
4 4 12
Direct
0.250 0.903 0.097 Np
0.750 0.097 0.903 Np
0.250 0.337 0.663 Np
0.750 0.663 0.337 Np
0.745 0.618 0.796 Mn
0.755 0.204 0.382 Mn
0.255 0.382 0.204 Mn
0.245 0.796 0.618 Mn
0.644 0.782 0.002 S
0.856 0.998 0.218 S
0.356 0.218 0.998 S
0.144 0.002 0.782 S
0.901 0.359 0.908 S
0.599 0.092 0.641 S
0.099 0.641 0.092 S
0.401 0.908 0.359 S
0.504 0.564 0.670 S
0.996 0.330 0.436 S
0.496 0.436 0.330 S
0.004 0.670 0.564 S
```

Properties
space-group type: C2/c, No. 15
total DFT energy (no corrections): -0.288 Ha/atom
N(E_F): 1.8594 states/eV/atom